# 1
VASP calculation (PBE) on a relaxed structure of Mg2TaTe.

Properties
**Formation energy without anion corrections**: 0.526 eV/atom
**Symmetry**: I-42d (122)

```
Mg2TaTe
1.0
-4.044 4.044 2.809
4.044 -4.044 2.809
4.044 4.044 -2.809
Mg Ta Te
4 2 2
Cartesian
6.065 1.947 -0.702 Mg
1.947 2.022 0.702 Mg
-2.022 2.096 2.107 Mg
2.096 2.022 3.511 Mg
4.044 0.000 1.404 Ta
0.000 0.000 2.809 Ta
0.000 0.000 0.000 Te
0.000 4.044 1.404 Te
```

---

# 2
VASP calculation (PBE) on a relaxed structure of Cs2SmCl5.

Properties
**Polymorph energy (0 for the lowest one)**: 0 meV per atom
**Formation energy without anion corrections**: -2.189 eV/atom
**Symmetry**: Pnma (62)

```
Cs2SmCl5
1.0
13.984 0.000 0.000
0.000 9.081 0.000
0.000 0.000 8.736
Cs Sm Cl
8 4 20
Cartesian
2.374 0.070 0.595 Cs
2.374 4.471 0.595 Cs
4.618 4.610 4.963 Cs
4.618 9.012 4.963 Cs
9.366 0.070 3.773 Cs
9.366 4.471 3.773 Cs
11.610 4.610 8.141 Cs
11.610 9.012 8.141 Cs
0.063 2.270 4.931 Sm
6.929 6.811 0.563 Sm
7.055 2.270 8.173 Sm
13.921 6.811 3.805 Sm
0.235 2.270 7.685 Cl
0.855 4.937 5.733 Cl
0.855 8.685 5.733 Cl
2.407 2.270 3.525 Cl
2.595 6.811 3.165 Cl
4.397 2.270 7.533 Cl
4.585 6.811 7.893 Cl
6.137 0.397 1.365 Cl
6.137 4.144 1.365 Cl
6.757 6.811 3.317 Cl
7.227 2.270 5.419 Cl
7.847 4.937 7.371 Cl
7.847 8.685 7.371 Cl
9.399 2.270 0.843 Cl
9.587 6.811 1.203 Cl
11.389 2.270 5.571 Cl
11.577 6.811 5.211 Cl
13.129 0.397 3.003 Cl
13.129 4.144 3.003 Cl
13.749 6.811 1.051 Cl
```

---

# 3
VASP calculation (PBE) on a relaxed structure of ZnCd2Si.

Properties
**Polymorph energy (0 for the lowest one)**: 65 meV per atom
**Formation energy without anion corrections**: 0.287 eV/atom
**Symmetry**: I-4m2 (119)

```
ZnCd2Si
1.0
-2.127 2.127 4.273
2.127 -2.127 4.273
2.127 2.127 -4.273
Zn Cd Si
1 2 1
Cartesian
0.000 0.000 0.000 Zn
2.127 0.000 2.136 Cd
0.000 0.000 4.273 Cd
0.000 2.127 2.136 Si
```

---

# 4
VASP calculation (PBE) on a relaxed structure of K2BaTe.

Properties
**Formation energy without anion corrections**: -0.714 eV/atom
**Symmetry**: Immm (71)

```
K2BaTe
1.0
-2.269 2.623 9.604
2.269 -2.623 9.604
2.269 2.623 -9.604
K Ba Te
2 1 1
Cartesian
0.000 0.000 3.318 K
0.000 0.000 15.890 K
0.000 2.623 0.000 Ba
2.269 0.000 0.000 Te
```

---

# 5
VASP calculation (PBE) on a relaxed structure of Li5Ge3F12.

Properties
**Formation energy without anion corrections**: -2.403 eV/atom
**Symmetry**: Ia-3d (230)

```
Li5Ge3F12
1.0
-6.128 6.128 6.128
6.128 -6.128 6.128
6.128 6.128 -6.128
Li Ge F
20 12 48
Cartesian
0.000 0.000 0.000 Li
3.064 3.064 -3.064 Li
3.064 -3.064 3.064 Li
6.128 0.000 0.000 Li
9.192 1.532 0.000 Li
6.128 -3.064 4.596 Li
4.596 6.128 -3.064 Li
4.596 0.000 3.064 Li
3.064 4.596 0.000 Li
6.128 3.064 1.532 Li
-3.064 3.064 3.064 Li
0.000 6.128 0.000 Li
0.000 0.000 6.128 Li
3.064 3.064 3.064 Li
0.000 3.064 4.596 Li
3.064 1.532 6.128 Li
1.532 6.128 3.064 Li
1.532 0.000 9.192 Li
0.000 9.192 1.532 Li
-3.064 4.596 6.128 Li
3.064 1.532 0.000 Ge
6.128 3.064 -1.532 Ge
1.532 0.000 3.064 Ge
7.660 0.000 3.064 Ge
0.000 3.064 1.532 Ge
3.064 -1.532 6.128 Ge
3.064 7.660 0.000 Ge
6.128 3.064 4.596 Ge
-1.532 6.128 3.064 Ge
4.596 6.128 3.064 Ge
0.000 3.064 7.660 Ge
3.064 4.596 6.128 Ge
1.886 -0.304 0.756 F
7.305 3.820 -3.368 F
8.014 0.304 0.756 F
7.305 -2.308 3.368 F
5.824 -0.756 1.886 F
9.495 -1.178 2.308 F
0.756 1.886 -0.304 F
8.435 2.760 -1.178 F
3.820 3.368 -1.178 F
5.372 1.886 0.304 F
-0.304 0.756 1.886 F
3.368 -1.178 3.820 F
5.824 5.372 -1.886 F
3.368 1.178 2.308 F
3.820 -3.368 7.305 F
5.372 -1.886 5.824 F
2.308 3.368 1.178 F
6.884 4.242 0.304 F
3.368 7.305 -2.308 F
5.824 0.756 4.242 F
1.886 5.824 -0.756 F
7.305 2.308 2.760 F
1.178 2.308 3.368 F
1.886 0.304 5.372 F
4.242 5.824 0.756 F
4.950 3.820 2.760 F
-1.178 3.820 3.368 F
4.242 0.304 6.884 F
0.304 5.372 1.886 F
2.760 -1.178 8.435 F
-0.756 1.886 5.824 F
3.820 2.760 4.950 F
0.756 8.014 0.304 F
2.308 9.495 -1.178 F
2.760 4.950 3.820 F
0.304 0.756 8.014 F
2.760 7.305 2.308 F
6.431 5.372 4.242 F
0.756 4.242 5.824 F
2.308 2.760 7.305 F
-2.308 3.368 7.305 F
5.372 4.242 6.431 F
-3.368 7.305 3.820 F
0.304 6.884 4.242 F
-1.178 8.435 2.760 F
-1.886 5.824 5.372 F
-1.178 2.308 9.495 F
4.242 6.431 5.372 F
```

---

# 6
VASP calculation (PBE) on a relaxed structure of Y6Ni2Sn.

Properties
**Energy relative to the elements**: -0.41 eV per atom
**Symmetry**: Immm (71)

```
Y6Ni2Sn
1.0
-4.678 4.885 5.092
4.678 -4.885 5.092
4.678 4.885 -5.092
Y Ni Sn
12 4 2
Cartesian
4.678 2.903 -2.720 Y
2.720 1.782 0.000 Y
6.636 1.782 0.000 Y
1.781 4.885 -1.777 Y
2.897 0.000 3.315 Y
0.000 1.982 2.371 Y
4.678 2.903 2.720 Y
1.781 4.885 1.777 Y
2.897 0.000 6.869 Y
-1.958 3.103 5.092 Y
1.958 3.103 5.092 Y
0.000 1.982 7.812 Y
4.678 0.000 1.236 Ni
0.000 3.414 0.000 Ni
0.000 6.356 0.000 Ni
0.000 4.885 3.856 Ni
0.000 0.000 0.000 Sn
0.000 0.000 5.092 Sn
```

---

# 7
VASP calculation (PBE) on a relaxed structure of Li2AcAlZn4.

Properties
**Energy relative to the elements**: -0.19 eV per atom
**Symmetry**: R-3m (166)

```
Li2AcAlZn4
1.0
2.186 1.262 9.497
-2.186 1.262 9.497
0.000 -2.524 9.497
Li Ac Al Zn
2 1 1 4
Cartesian
0.000 0.000 6.451 Li
0.000 0.000 22.041 Li
0.000 0.000 0.000 Ac
0.000 0.000 14.246 Al
0.000 0.000 3.541 Zn
0.000 0.000 11.620 Zn
0.000 0.000 16.871 Zn
0.000 0.000 24.951 Zn
```

---

# 8
VASP calculation (PBE) on a relaxed structure of LiAgW.

Properties
**Polymorph energy (0 for the lowest one)**: 24 meV per atom
**Energy relative to the elements**: 0.42 eV per atom
**Symmetry**: Pnma (62)

```
LiAgW
1.0
6.127 0.000 0.000
0.000 3.208 0.000
0.000 0.000 9.732
Li Ag W
4 4 4
Cartesian
0.902 0.802 2.328 Li
2.162 2.406 7.194 Li
3.965 0.802 2.538 Li
5.225 2.406 7.404 Li
0.588 0.802 5.913 Ag
2.475 2.406 1.047 Ag
3.651 0.802 8.685 Ag
5.539 2.406 3.819 Ag
0.695 0.802 9.119 W
2.369 2.406 4.253 W
3.758 0.802 5.479 W
5.432 2.406 0.613 W
```

---

no.,VASP energy (eV per atom)
1,-4.020
2,-4.146
3,-1.845
4,-2.529
5,-4.697
6,-6.450
7,-2.285
8,-5.484